(1)
Here is Pm8P3RhI4 after structural relaxation from Alexandria. Energies are from PBE-GGA.

The space group is R-3m (No. 166, hexagonal axes) and the conventional cell measures 8.4465, 8.4465 and 22.8483 Å, with angles of 90.00, 90.00 and 120.00 degrees. The asymmetric unit holds Pm at (0.0000, 0.0000, 0.2301), Pm at (0.0050, 0.5025, 0.2297), P at (0.0000, 0.5000, 0.5000), Rh at (0.0000, 0.0000, 0.5000), I at (0.0000, 0.0000, 0.0000) and I at (0.0000, 0.5000, 0.0000).

Its crystal system is trigonal. The energy relative to the elements, uncorrected comes out at -19.4 eV per formula unit.

---

(2)
Here is Pm4PRuI2 after structural relaxation from Alexandria. Energies are from PBE-GGA.

The space group is P2/m (No. 10) and the conventional cell measures 7.493, 4.121 and 8.144 Å, with angles of 90.00, 105.75 and 90.00 degrees. The asymmetric unit holds Pm at (0.222, 0.000, 0.187), Pm at (0.258, 0.500, 0.819), P at (0.500, 0.000, 0.000), Ru at (0.000, 0.500, 0.000), I at (0.000, 0.000, 0.500) and I at (0.500, 0.500, 0.500).

Its crystal system is monoclinic. The energy relative to the elements, uncorrected comes out at -7.8 eV per formula unit.

---

(3)
Here is Pm6PRu2I3 after structural relaxation from Alexandria. Energies are from PBE-GGA.

The space group is C2/m (No. 12) and the conventional cell measures 7.275, 12.591 and 8.303 Å, with angles of 90.00, 107.09 and 90.00 degrees. The asymmetric unit holds Pm at (0.218, 0.000, 0.185), Pm at (0.232, 0.328, 0.186), P at (0.000, 0.500, 0.000), Ru at (0.000, 0.167, 0.000), I at (0.000, 0.000, 0.500) and I at (0.000, 0.336, 0.500).

Its crystal system is monoclinic. The energy relative to the elements, uncorrected comes out at -10.4 eV per formula unit.

---

(4)
Here is Pm8PRu3I4 after structural relaxation from Alexandria. Energies are from PBE-GGA.

The space group is R-3m (No. 166, hexagonal axes) and the conventional cell measures 8.3743, 8.3743 and 23.9678 Å, with angles of 90.00, 90.00 and 120.00 degrees. The asymmetric unit holds Pm at (0.0000, 0.0000, 0.2312), Pm at (0.0110, 0.5055, 0.7729), P at (0.0000, 0.0000, 0.5000), Ru at (0.0000, 0.5000, 0.5000), I at (0.0000, 0.0000, 0.0000) and I at (0.0000, 0.5000, 0.0000).

Its crystal system is trigonal. The energy relative to the elements, uncorrected comes out at -12.9 eV per formula unit.

---

- The highest energy relative to the elements, uncorrected belongs to which entry?
  Pm4PRuI2